1.
# SrTaCl2

A geometry-optimized SrTaCl2 structure (GGA-PBE, the Alexandria database).

Cell: 5.365 5.365 5.365 Å, 60.00 60.00 60.00°
Sites, in units of the cell vectors:
Sr: 0.000 0.000 0.000
Ta: 0.750 0.750 0.750
Cl: 0.250 0.250 0.250
Cl: 0.500 0.500 0.500

## Properties
volume = 27.3 A^3/atom
total magnetization = 4.9 μB/cell
E_form (uncorrected) = 355 meV per atom


2.
# SrTaCl3

A geometry-optimized SrTaCl3 structure (GGA-PBE, the Alexandria database).

Cell: 5.604 5.604 5.604 Å, 90.00 90.00 90.00°
Sites, in units of the cell vectors:
Sr: 0.000 0.000 0.000
Ta: 0.500 0.500 0.500
Cl: 0.000 0.000 0.500
Cl: 0.000 0.500 0.000
Cl: 0.500 0.000 0.000

## Properties
volume = 35.2 A^3/atom
total magnetization = 4.0 μB/cell
E_form (uncorrected) = -240 meV per atom


3.
# SrTaCl2

A geometry-optimized SrTaCl2 structure (GGA-PBE, the Alexandria database).

Cell: 4.519 4.519 6.184 Å, 101.67 101.67 43.28°
Sites, in units of the cell vectors:
Sr: 0.000 0.000 0.000
Ta: 0.500 0.500 0.500
Cl: 0.237 0.237 0.698
Cl: 0.763 0.763 0.302

## Properties
volume = 21.1 A^3/atom
total magnetization = 0.0 μB/cell
E_form (uncorrected) = -350 meV per atom


4.
# SrTaCl2

A geometry-optimized SrTaCl2 structure (GGA-PBE, the Alexandria database).

Cell: 3.187 4.606 6.567 Å, 90.00 90.00 90.00°
Sites, in units of the cell vectors:
Sr: 0.000 0.000 0.000
Ta: 0.500 0.000 0.500
Cl: 0.000 0.500 0.500
Cl: 0.500 0.500 0.000

## Properties
volume = 24.1 A^3/atom
total magnetization = 0.2 μB/cell
E_form (uncorrected) = -269 meV per atom


5.
# SrTaCl2

A geometry-optimized SrTaCl2 structure (GGA-PBE, the Alexandria database).

Cell: 9.462 9.462 9.462 Å, 20.62 20.62 20.62°
Sites, in units of the cell vectors:
Sr: 0.000 0.000 0.000
Ta: 0.500 0.500 0.500
Cl: 0.411 0.411 0.411
Cl: 0.589 0.589 0.589

## Properties
volume = 23.0 A^3/atom
total magnetization = 0.0 μB/cell
E_form (uncorrected) = -461 meV per atom


6.
# SrTa2Cl

A geometry-optimized SrTa2Cl structure (GGA-PBE, the Alexandria database).

Cell: 4.985 4.985 4.985 Å, 119.73 119.73 90.47°
Sites, in units of the cell vectors:
Sr: 0.000 0.000 0.000
Ta: 0.250 0.750 0.500
Ta: 0.500 0.500 0.000
Cl: 0.750 0.250 0.500

## Properties
volume = 22.0 A^3/atom
total magnetization = 0.0 μB/cell
E_form (uncorrected) = 895 meV per atom